! Ba2BPtAu | Alexandria via LeMat-Bulk | PBE | relaxed; values from VASP
&SYSTEM
  ibrav = 0, nat = 5, ntyp = 4
/
ATOMIC_SPECIES
Ba 137.33 Ba.upf
B 10.81 B.upf
Pt 195.08 Pt.upf
Au 196.97 Au.upf
ATOMIC_POSITIONS angstrom
Ba 0.0000 3.0781 0.0000
Ba 3.0781 0.0000 0.0000
B 0.0000 0.0000 2.0536
Pt 0.0000 0.0000 0.0000
Au 3.0781 3.0781 2.0536
CELL_PARAMETERS angstrom
6.1562 0.0000 0.0000
0.0000 6.1562 0.0000
0.0000 0.0000 4.1073
! energy relative to the elements: -0.348 eV per atom



! LiTeMo2 | Alexandria via LeMat-Bulk | PBE | relaxed; values from VASP
&SYSTEM
  ibrav = 0, nat = 8, ntyp = 3
/
ATOMIC_SPECIES
Li 6.94 Li.upf
Te 127.60 Te.upf
Mo 95.94 Mo.upf
ATOMIC_POSITIONS angstrom
Li 0.0000 0.0000 0.0000
Li 2.2495 2.2495 3.1884
Te 0.0000 2.2495 4.7826
Te 2.2495 0.0000 1.5942
Mo 0.0000 0.0000 3.1884
Mo 0.0000 2.2495 1.5942
Mo 2.2495 0.0000 4.7826
Mo 2.2495 2.2495 0.0000
CELL_PARAMETERS angstrom
4.4989 0.0000 0.0000
0.0000 4.4989 0.0000
0.0000 0.0000 6.3768
! ΔE_f (raw): 0.186 eV per atom



! MgSi2Tc | Alexandria via LeMat-Bulk | PBE | relaxed; values from VASP
&SYSTEM
  ibrav = 0, nat = 16, ntyp = 3
/
ATOMIC_SPECIES
Mg 24.30 Mg.upf
Si 28.09 Si.upf
Tc 98.00 Tc.upf
ATOMIC_POSITIONS angstrom
Mg 0.0000 0.0000 0.0000
Mg 0.0000 2.2110 4.0423
Mg 2.2110 0.0000 12.1269
Mg 2.2110 2.2110 8.0846
Si 0.5266 1.1055 10.1057
Si 1.1055 2.7376 14.1480
Si 1.1055 3.8953 6.0634
Si 1.6844 1.1055 2.0211
Si 2.7376 3.3165 2.0211
Si 3.3165 0.5266 6.0634
Si 3.3165 1.6844 14.1480
Si 3.8953 3.3165 10.1057
Tc 0.0000 0.0000 8.0846
Tc 0.0000 2.2110 12.1269
Tc 2.2110 0.0000 4.0423
Tc 2.2110 2.2110 0.0000
CELL_PARAMETERS angstrom
4.4220 0.0000 0.0000
0.0000 4.4220 0.0000
0.0000 0.0000 16.1692
! ΔE_f (raw): 0.294 eV per atom